! DyCrSeO2 | the Alexandria database | PBE with a Hubbard U | optimized geometry; values from VASP
&SYSTEM
  ibrav = 0, nat = 10, ntyp = 4
/
ATOMIC_SPECIES
Dy 162.50 Dy.upf
Cr 52.00 Cr.upf
Se 78.96 Se.upf
O 16.00 O.upf
CELL_PARAMETERS angstrom
2.639 -5.904 0.000
2.639 5.904 0.000
0.000 0.000 5.247
ATOMIC_POSITIONS crystal
Dy 0.109 0.891 0.750
Dy 0.891 0.109 0.250
Cr 0.437 0.563 0.750
Cr 0.563 0.437 0.250
Se 0.258 0.742 0.250
Se 0.742 0.258 0.750
O 0.255 0.255 0.000
O 0.255 0.255 0.500
O 0.745 0.745 0.000
O 0.745 0.745 0.500
! calculated volume: 16.351 Å³ per atom
! total DFT energy (no corrections): -7.12 eV per atom
! total magnetization: 6.00 Bohr magnetons per cell
! space group: Cmcm, No. 63